1.
! GGA-PBE Tm8ZnRu2, optimized geometry; values from VASP
! - electronic total energy (eV per atom) = -5.273
! - total magnetization (μB/f.u.) = 0.00
! - energy relative to the lowest polymorph listed for this composition (eV per formula unit) = 0.59
&SYSTEM
  ibrav = 0, nat = 11, ntyp = 3
/
ATOMIC_SPECIES
Tm 168.93 Tm.upf
Zn 65.41 Zn.upf
Ru 101.07 Ru.upf
ATOMIC_POSITIONS crystal
Tm 0.000 0.000 0.000
Tm 0.047 0.311 0.608
Tm 0.137 0.619 0.194
Tm 0.311 0.047 0.608
Tm 0.444 0.708 0.781
Tm 0.619 0.137 0.194
Tm 0.708 0.444 0.781
Tm 0.754 0.754 0.388
Zn 0.377 0.377 0.192
Ru 0.064 0.691 0.694
Ru 0.691 0.064 0.694
CELL_PARAMETERS angstrom
4.276 -6.363 0.000
4.276 6.363 0.000
-1.370 0.000 5.248

2.
! GGA-PBE BaSn3Sb2, optimized geometry; values from VASP
! - electronic total energy (eV per atom) = -4.004
! - total magnetization (μB/f.u.) = 0.00
&SYSTEM
  ibrav = 0, nat = 12, ntyp = 3
/
ATOMIC_SPECIES
Ba 137.33 Ba.upf
Sn 118.71 Sn.upf
Sb 121.76 Sb.upf
ATOMIC_POSITIONS crystal
Ba 0.138 0.138 0.061
Ba 0.862 0.862 0.939
Sn 0.063 0.063 0.397
Sn 0.303 0.303 0.589
Sn 0.405 0.405 0.354
Sn 0.595 0.595 0.646
Sn 0.697 0.697 0.411
Sn 0.937 0.937 0.603
Sb 0.206 0.206 0.775
Sb 0.492 0.492 0.828
Sb 0.508 0.508 0.172
Sb 0.794 0.794 0.225
CELL_PARAMETERS angstrom
8.546 -2.408 0.000
8.546 2.408 0.000
-3.807 0.000 9.649

3.
! GGA-PBE Pm3HRu, optimized geometry; values from VASP
! - electronic total energy (eV per atom) = -5.589
! - total magnetization (μB/f.u.) = 0.00
&SYSTEM
  ibrav = 0, nat = 10, ntyp = 3
/
ATOMIC_SPECIES
Pm 145.00 Pm.upf
H 1.01 H.upf
Ru 101.07 Ru.upf
ATOMIC_POSITIONS crystal
Pm 0.106 0.000 0.328
Pm 0.272 0.000 0.008
Pm 0.385 0.500 0.685
Pm 0.615 0.500 0.315
Pm 0.728 0.000 0.992
Pm 0.894 0.000 0.672
H 0.000 0.500 0.500
H 0.500 0.500 0.000
Ru 0.000 0.500 0.000
Ru 0.500 0.000 0.500
CELL_PARAMETERS angstrom
7.328 0.000 0.000
0.000 3.832 0.000
-2.560 0.000 8.395

4.
! GGA-PBE Tl2CuNi, optimized geometry; values from VASP
! - electronic total energy (eV per atom) = -3.110
! - total magnetization (μB/f.u.) = 0.00
&SYSTEM
  ibrav = 0, nat = 4, ntyp = 3
/
ATOMIC_SPECIES
Tl 204.38 Tl.upf
Cu 63.55 Cu.upf
Ni 58.69 Ni.upf
ATOMIC_POSITIONS crystal
Tl 0.000 0.000 0.000
Tl 0.250 0.250 0.250
Cu 0.500 0.500 0.500
Ni 0.750 0.750 0.750
CELL_PARAMETERS angstrom
0.000 3.389 3.389
3.389 0.000 3.389
3.389 3.389 0.000

5.
! GGA-PBE ZrFeCu, optimized geometry; values from VASP
! - electronic total energy (eV per atom) = -6.247
! - total magnetization (μB/f.u.) = 1.13
&SYSTEM
  ibrav = 0, nat = 3, ntyp = 3
/
ATOMIC_SPECIES
Zr 91.22 Zr.upf
Fe 55.84 Fe.upf
Cu 63.55 Cu.upf
ATOMIC_POSITIONS crystal
Zr 0.000 0.000 0.000
Fe 0.250 0.250 0.250
Cu 0.750 0.750 0.750
CELL_PARAMETERS angstrom
0.000 3.029 3.029
3.029 0.000 3.029
3.029 3.029 0.000

6.
! GGA-PBE CdPN2O, optimized geometry; values from VASP
! - electronic total energy (eV per atom) = -3.506
! - total magnetization (μB/f.u.) = 1.74
&SYSTEM
  ibrav = 0, nat = 5, ntyp = 4
/
ATOMIC_SPECIES
Cd 112.41 Cd.upf
P 30.97 P.upf
N 14.01 N.upf
O 16.00 O.upf
ATOMIC_POSITIONS crystal
Cd 0.000 0.000 0.000
P 0.500 0.500 0.500
N 0.000 0.500 0.000
N 0.500 0.000 0.000
O 0.000 0.000 0.500
CELL_PARAMETERS angstrom
4.282 0.000 0.000
0.000 4.282 0.000
0.000 0.000 4.123

7.
! GGA-PBE Th4InOs, optimized geometry; values from VASP
! - electronic total energy (eV per atom) = -7.294
! - total magnetization (μB/f.u.) = 0.00
! - energy relative to the lowest polymorph listed for this composition (eV per formula unit) = 1.43
&SYSTEM
  ibrav = 0, nat = 12, ntyp = 3
/
ATOMIC_SPECIES
Th 232.04 Th.upf
In 114.82 In.upf
Os 190.23 Os.upf
ATOMIC_POSITIONS crystal
Th 0.047 0.587 0.791
Th 0.194 0.262 0.737
Th 0.262 0.194 0.237
Th 0.413 0.953 0.709
Th 0.587 0.047 0.291
Th 0.738 0.806 0.763
Th 0.806 0.738 0.263
Th 0.953 0.413 0.209
In 0.375 0.625 0.250
In 0.625 0.375 0.750
Os 0.088 0.912 0.750
Os 0.912 0.088 0.250
CELL_PARAMETERS angstrom
4.699 -7.226 0.000
4.699 7.226 0.000
-4.467 0.000 5.749

8.
! GGA-PBE K3Bi3Pt2, optimized geometry; values from VASP
! - electronic total energy (eV per atom) = -3.709
! - total magnetization (μB/f.u.) = 0.00
! - energy relative to the lowest polymorph listed for this composition (eV per formula unit) = 0.00
&SYSTEM
  ibrav = 0, nat = 16, ntyp = 3
/
ATOMIC_SPECIES
K 39.10 K.upf
Bi 208.98 Bi.upf
Pt 195.08 Pt.upf
ATOMIC_POSITIONS crystal
K 0.043 0.957 0.612
K 0.043 0.957 0.888
K 0.359 0.641 0.750
K 0.641 0.359 0.250
K 0.957 0.043 0.112
K 0.957 0.043 0.388
Bi 0.322 0.678 0.546
Bi 0.322 0.678 0.954
Bi 0.338 0.662 0.250
Bi 0.662 0.338 0.750
Bi 0.678 0.322 0.046
Bi 0.678 0.322 0.454
Pt 0.250 0.750 0.105
Pt 0.250 0.750 0.395
Pt 0.750 0.250 0.605
Pt 0.750 0.250 0.895
CELL_PARAMETERS angstrom
2.454 -6.205 0.000
2.454 6.205 0.000
0.000 0.000 17.397

9.
! GGA-PBE Zr3BeAl, optimized geometry; values from VASP
! - electronic total energy (eV per atom) = -6.526
! - total magnetization (μB/f.u.) = 0.00
! - energy relative to the lowest polymorph listed for this composition (eV per formula unit) = 0.00
&SYSTEM
  ibrav = 0, nat = 5, ntyp = 3
/
ATOMIC_SPECIES
Zr 91.22 Zr.upf
Be 9.01 Be.upf
Al 26.98 Al.upf
ATOMIC_POSITIONS crystal
Zr 0.000 0.000 0.500
Zr 0.000 0.500 0.000
Zr 0.500 0.000 0.000
Be 0.000 0.000 0.000
Al 0.500 0.500 0.500
CELL_PARAMETERS angstrom
4.709 0.000 0.000
0.000 4.709 0.000
0.000 0.000 4.709

10.
! GGA-PBE Ir2OsRh5, optimized geometry; values from VASP
! - electronic total energy (eV per atom) = -7.882
! - total magnetization (μB/f.u.) = 0.00
! - energy relative to the lowest polymorph listed for this composition (eV per formula unit) = 2.39
&SYSTEM
  ibrav = 0, nat = 16, ntyp = 3
/
ATOMIC_SPECIES
Ir 192.22 Ir.upf
Os 190.23 Os.upf
Rh 102.91 Rh.upf
ATOMIC_POSITIONS crystal
Ir 0.136 0.636 0.772
Ir 0.364 0.136 0.500
Ir 0.636 0.864 0.500
Ir 0.864 0.364 0.228
Os 0.250 0.250 0.000
Os 0.750 0.750 0.000
Rh 0.000 0.000 0.000
Rh 0.010 0.821 0.500
Rh 0.179 0.679 0.189
Rh 0.321 0.510 0.500
Rh 0.490 0.990 0.811
Rh 0.500 0.500 0.000
Rh 0.510 0.010 0.189
Rh 0.679 0.490 0.500
Rh 0.821 0.321 0.811
Rh 0.990 0.179 0.500
CELL_PARAMETERS angstrom
-3.295 3.295 5.529
3.295 -3.295 5.529
3.295 3.295 -5.529

11.
! GGA-PBE Dy3CoSi6Ni2, optimized geometry; values from VASP
! - electronic total energy (eV per atom) = -5.762
! - total magnetization (μB/f.u.) = 0.00
&SYSTEM
  ibrav = 0, nat = 12, ntyp = 4
/
ATOMIC_SPECIES
Dy 162.50 Dy.upf
Co 58.93 Co.upf
Si 28.09 Si.upf
Ni 58.69 Ni.upf
ATOMIC_POSITIONS crystal
Dy 0.000 0.000 0.000
Dy 0.333 0.667 0.627
Dy 0.667 0.333 0.373
Co 0.000 0.000 0.500
Si 0.186 0.373 0.295
Si 0.186 0.814 0.295
Si 0.373 0.186 0.705
Si 0.627 0.814 0.295
Si 0.814 0.186 0.705
Si 0.814 0.627 0.705
Ni 0.333 0.667 0.055
Ni 0.667 0.333 0.945
CELL_PARAMETERS angstrom
5.599 0.000 0.000
-2.799 4.849 0.000
0.000 0.000 7.691

12.
! GGA-PBE LiSmNpTe3, optimized geometry; values from VASP
! - electronic total energy (eV per atom) = -5.810
! - total magnetization (μB/f.u.) = 4.70
&SYSTEM
  ibrav = 0, nat = 12, ntyp = 4
/
ATOMIC_SPECIES
Li 6.94 Li.upf
Sm 150.36 Sm.upf
Np 237.00 Np.upf
Te 127.60 Te.upf
ATOMIC_POSITIONS crystal
Li 0.087 0.250 0.085
Li 0.913 0.750 0.915
Sm 0.184 0.250 0.733
Sm 0.816 0.750 0.267
Np 0.332 0.750 0.341
Np 0.668 0.250 0.659
Te 0.088 0.250 0.373
Te 0.233 0.750 0.997
Te 0.425 0.750 0.677
Te 0.575 0.250 0.323
Te 0.767 0.250 0.003
Te 0.912 0.750 0.627
CELL_PARAMETERS angstrom
8.979 0.000 0.000
0.000 4.271 0.000
-2.299 0.000 9.317

13.
! GGA-PBE VS8, optimized geometry; values from VASP
! - electronic total energy (eV per atom) = -4.348
! - total magnetization (μB/f.u.) = 0.84
&SYSTEM
  ibrav = 0, nat = 9, ntyp = 2
/
ATOMIC_SPECIES
V 50.94 V.upf
S 32.06 S.upf
ATOMIC_POSITIONS crystal
V 0.000 0.000 0.000
S 0.000 0.304 0.304
S 0.000 0.696 0.696
S 0.304 0.000 0.304
S 0.351 0.351 0.702
S 0.351 0.649 0.000
S 0.649 0.351 0.000
S 0.649 0.649 0.298
S 0.696 0.000 0.696
CELL_PARAMETERS angstrom
-3.652 3.652 4.133
3.652 -3.652 4.133
3.652 3.652 -4.133

14.
! GGA-PBE ReNi2W, optimized geometry; values from VASP
! - electronic total energy (eV per atom) = -9.194
! - total magnetization (μB/f.u.) = 0.00
&SYSTEM
  ibrav = 0, nat = 4, ntyp = 3
/
ATOMIC_SPECIES
Re 186.21 Re.upf
Ni 58.69 Ni.upf
W 183.84 W.upf
ATOMIC_POSITIONS crystal
Re 0.000 0.000 0.000
Ni 0.250 0.750 0.500
Ni 0.750 0.250 0.500
W 0.500 0.500 0.000
CELL_PARAMETERS angstrom
-1.857 1.857 3.830
1.857 -1.857 3.830
1.857 1.857 -3.830

15.
! GGA-PBE TaMnTe, optimized geometry; values from VASP
! - electronic total energy (eV per atom) = -7.710
! - total magnetization (μB/f.u.) = 1.49
! - energy relative to the lowest polymorph listed for this composition (eV per formula unit) = 1.24
&SYSTEM
  ibrav = 0, nat = 3, ntyp = 3
/
ATOMIC_SPECIES
Ta 180.95 Ta.upf
Mn 54.94 Mn.upf
Te 127.60 Te.upf
ATOMIC_POSITIONS crystal
Ta 0.000 0.000 0.000
Mn 0.333 0.667 0.726
Te 0.667 0.333 0.380
CELL_PARAMETERS angstrom
3.328 0.000 0.000
-1.664 2.882 0.000
0.000 0.000 5.978

16.
! GGA-PBE AcPr7Sm3, optimized geometry; values from VASP
! - electronic total energy (eV per atom) = -4.521
! - total magnetization (μB/f.u.) = 0.00
&SYSTEM
  ibrav = 0, nat = 11, ntyp = 3
/
ATOMIC_SPECIES
Ac 227.00 Ac.upf
Pr 140.91 Pr.upf
Sm 150.36 Sm.upf
ATOMIC_POSITIONS crystal
Ac 0.000 0.000 0.000
Pr 0.000 0.500 0.987
Pr 0.333 0.667 0.319
Pr 0.335 0.168 0.335
Pr 0.500 0.000 0.987
Pr 0.500 0.500 0.987
Pr 0.832 0.168 0.335
Pr 0.832 0.665 0.335
Sm 0.168 0.336 0.657
Sm 0.168 0.832 0.657
Sm 0.664 0.832 0.657
CELL_PARAMETERS angstrom
7.377 0.000 0.000
-3.689 6.389 0.000
0.000 0.000 8.863

17.
! GGA-PBE La2Ga3Ir, optimized geometry; values from VASP
! - electronic total energy (eV per atom) = -5.329
! - total magnetization (μB/f.u.) = 0.00
! - energy relative to the lowest polymorph listed for this composition (eV per formula unit) = 0.03
&SYSTEM
  ibrav = 0, nat = 12, ntyp = 3
/
ATOMIC_SPECIES
La 138.91 La.upf
Ga 69.72 Ga.upf
Ir 192.22 Ir.upf
ATOMIC_POSITIONS crystal
La 0.234 0.766 0.766
La 0.250 0.250 0.250
La 0.750 0.750 0.750
La 0.766 0.234 0.234
Ga 0.166 0.664 0.336
Ga 0.330 0.330 0.670
Ga 0.336 0.834 0.166
Ga 0.664 0.166 0.834
Ga 0.670 0.670 0.330
Ga 0.834 0.336 0.664
Ir 0.163 0.163 0.837
Ir 0.837 0.837 0.163
CELL_PARAMETERS angstrom
0.000 4.492 7.655
4.053 0.000 7.655
4.053 4.492 0.000

18.
! GGA-PBE Zr2P2Au, optimized geometry; values from VASP
! - electronic total energy (eV per atom) = -7.125
! - total magnetization (μB/f.u.) = 0.00
! - energy relative to the lowest polymorph listed for this composition (eV per formula unit) = 0.00
&SYSTEM
  ibrav = 0, nat = 10, ntyp = 3
/
ATOMIC_SPECIES
Zr 91.22 Zr.upf
P 30.97 P.upf
Au 196.97 Au.upf
ATOMIC_POSITIONS crystal
Zr 0.153 0.347 0.000
Zr 0.347 0.847 0.000
Zr 0.653 0.153 0.000
Zr 0.847 0.653 0.000
P 0.145 0.645 0.500
P 0.355 0.145 0.500
P 0.645 0.855 0.500
P 0.855 0.355 0.500
Au 0.000 0.000 0.500
Au 0.500 0.500 0.500
CELL_PARAMETERS angstrom
7.193 0.000 0.000
0.000 7.193 0.000
0.000 0.000 3.429

19.
! GGA-PBE Th2NbSi, optimized geometry; values from VASP
! - electronic total energy (eV per atom) = -7.116
! - total magnetization (μB/f.u.) = 0.00
&SYSTEM
  ibrav = 0, nat = 4, ntyp = 3
/
ATOMIC_SPECIES
Th 232.04 Th.upf
Nb 92.91 Nb.upf
Si 28.09 Si.upf
ATOMIC_POSITIONS crystal
Th 0.091 0.091 0.091
Th 0.909 0.909 0.909
Nb 0.000 0.000 0.000
Si 0.500 0.500 0.500
CELL_PARAMETERS angstrom
1.646 0.950 10.638
-1.646 0.950 10.638
0.000 -1.900 10.638

20.
! GGA-PBE Pm2MgZn, optimized geometry; values from VASP
! - electronic total energy (eV per atom) = -3.304
! - total magnetization (μB/f.u.) = 0.00
! - energy relative to the lowest polymorph listed for this composition (eV per formula unit) = 0.00
&SYSTEM
  ibrav = 0, nat = 4, ntyp = 3
/
ATOMIC_SPECIES
Pm 145.00 Pm.upf
Mg 24.30 Mg.upf
Zn 65.41 Zn.upf
ATOMIC_POSITIONS crystal
Pm 0.000 0.000 0.225
Pm 0.000 0.000 0.775
Mg 0.500 0.500 0.500
Zn 0.500 0.500 0.000
CELL_PARAMETERS angstrom
3.709 0.000 0.000
0.000 3.709 0.000
0.000 0.000 7.761

21.
! GGA-PBE LiMnZn6, optimized geometry; values from VASP
! - electronic total energy (eV per atom) = -2.137
! - total magnetization (μB/f.u.) = 3.77
! - energy relative to the lowest polymorph listed for this composition (eV per formula unit) = 2.18
&SYSTEM
  ibrav = 0, nat = 8, ntyp = 3
/
ATOMIC_SPECIES
Li 6.94 Li.upf
Mn 54.94 Mn.upf
Zn 65.41 Zn.upf
ATOMIC_POSITIONS crystal
Li 0.000 0.000 0.000
Mn 0.500 0.500 0.500
Zn 0.157 0.157 0.531
Zn 0.157 0.531 0.157
Zn 0.469 0.843 0.843
Zn 0.531 0.157 0.157
Zn 0.843 0.469 0.843
Zn 0.843 0.843 0.469
CELL_PARAMETERS angstrom
3.492 2.016 3.279
-3.492 2.016 3.279
0.000 -4.032 3.279

22.
! GGA-PBE Ta2TlHg, optimized geometry; values from VASP
! - electronic total energy (eV per atom) = -6.062
! - total magnetization (μB/f.u.) = 0.00
&SYSTEM
  ibrav = 0, nat = 4, ntyp = 3
/
ATOMIC_SPECIES
Ta 180.95 Ta.upf
Tl 204.38 Tl.upf
Hg 200.59 Hg.upf
ATOMIC_POSITIONS crystal
Ta 0.000 0.000 0.245
Ta 0.000 0.000 0.755
Tl 0.500 0.500 0.500
Hg 0.500 0.500 0.000
CELL_PARAMETERS angstrom
2.971 0.000 0.000
0.000 2.971 0.000
0.000 0.000 8.956

23.
! GGA-PBE PmSnI6, optimized geometry; values from VASP
! - electronic total energy (eV per atom) = -3.062
! - total magnetization (μB/f.u.) = 0.00
&SYSTEM
  ibrav = 0, nat = 8, ntyp = 3
/
ATOMIC_SPECIES
Pm 145.00 Pm.upf
Sn 118.71 Sn.upf
I 126.90 I.upf
ATOMIC_POSITIONS crystal
Pm 0.000 0.000 0.000
Sn 0.500 0.500 0.500
I 0.084 0.420 0.747
I 0.253 0.916 0.580
I 0.420 0.747 0.084
I 0.580 0.253 0.916
I 0.747 0.084 0.420
I 0.916 0.580 0.253
CELL_PARAMETERS angstrom
3.834 2.213 6.933
-3.834 2.213 6.933
0.000 -4.427 6.933

24.
! GGA-PBE Tb3CoIr8, optimized geometry; values from VASP
! - electronic total energy (eV per atom) = -8.131
! - total magnetization (μB/f.u.) = 2.43
&SYSTEM
  ibrav = 0, nat = 12, ntyp = 3
/
ATOMIC_SPECIES
Tb 158.93 Tb.upf
Co 58.93 Co.upf
Ir 192.22 Ir.upf
ATOMIC_POSITIONS crystal
Tb 0.000 0.000 0.000
Tb 0.130 0.130 0.130
Tb 0.516 0.516 0.516
Co 0.651 0.651 0.651
Ir 0.067 0.566 0.566
Ir 0.068 0.068 0.569
Ir 0.068 0.569 0.068
Ir 0.316 0.316 0.316
Ir 0.566 0.067 0.566
Ir 0.566 0.566 0.067
Ir 0.569 0.068 0.068
Ir 0.817 0.817 0.817
CELL_PARAMETERS angstrom
2.661 1.536 8.706
-2.661 1.536 8.706
0.000 -3.072 8.706